(1)
{"formula": "Na2BrF", "functional": "GGA-PBE", "state": "optimized geometry", "lattice_angstrom": [[1.8653, 1.0770, 6.7290], [-1.8653, 1.0770, 6.7290], [0.0000, -2.1539, 6.7290]], "species": ["Na", "Na", "Br", "F"], "fractional_positions": [[0.0000, 0.0000, 0.0000], [0.1420, 0.1420, 0.1420], [0.5717, 0.5717, 0.5717], [0.4020, 0.4020, 0.4020]], "space_group": "R3m (160)", "relative_energy_mev_per_atom": 153.1, "dos_at_fermi_per_ev_cell": 0.00, "e_form_raw_mev_per_atom": -1968}

(2)
{"formula": "Na2BrF", "functional": "GGA-PBE", "state": "optimized geometry", "lattice_angstrom": [[4.3308, 0.0000, 0.0000], [0.0000, 4.3308, 0.0000], [0.0000, 0.0000, 8.7927]], "species": ["Na", "Na", "Na", "Na", "Br", "Br", "F", "F"], "fractional_positions": [[0.2500, 0.2500, 0.1623], [0.2500, 0.7500, 0.5000], [0.7500, 0.2500, 0.5000], [0.7500, 0.7500, 0.8377], [0.2500, 0.2500, 0.8245], [0.7500, 0.7500, 0.1755], [0.2500, 0.2500, 0.4195], [0.7500, 0.7500, 0.5805]], "space_group": "P4/nmm (129)", "relative_energy_mev_per_atom": 0.0, "dos_at_fermi_per_ev_cell": 0.00, "e_form_raw_mev_per_atom": -2121}

(3)
{"formula": "NaBrF2", "functional": "GGA-PBE", "state": "optimized geometry", "lattice_angstrom": [[1.7900, 1.0335, 7.7556], [-1.7900, 1.0335, 7.7556], [0.0000, -2.0669, 7.7556]], "species": ["Na", "Br", "F", "F"], "fractional_positions": [[0.0000, 0.0000, 0.0000], [0.5000, 0.5000, 0.5000], [0.0876, 0.0876, 0.0876], [0.9124, 0.9124, 0.9124]], "space_group": "R-3m (166)", "relative_energy_mev_per_atom": 839.5, "dos_at_fermi_per_ev_cell": 1.46, "e_form_raw_mev_per_atom": -845}

(4)
{"formula": "NaBr2F8", "functional": "GGA-PBE", "state": "optimized geometry", "lattice_angstrom": [[-2.9703, 2.9703, 5.3339], [2.9703, -2.9703, 5.3339], [2.9703, 2.9703, -5.3339]], "species": ["Na", "Br", "Br", "F", "F", "F", "F", "F", "F", "F", "F"], "fractional_positions": [[0.0000, 0.0000, 0.0000], [0.2500, 0.7500, 0.5000], [0.7500, 0.2500, 0.5000], [0.0257, 0.5452, 0.8211], [0.2046, 0.0257, 0.4805], [0.2759, 0.4548, 0.4805], [0.4548, 0.9743, 0.1789], [0.5452, 0.7241, 0.5195], [0.7241, 0.2046, 0.1789], [0.7954, 0.2759, 0.8211], [0.9743, 0.7954, 0.5195]], "space_group": "I422 (97)", "relative_energy_mev_per_atom": 0.0, "dos_at_fermi_per_ev_cell": 6.37, "e_form_raw_mev_per_atom": -1265}

(5)
{"formula": "Na2Br2F", "functional": "GGA-PBE", "state": "optimized geometry", "lattice_angstrom": [[-2.1716, 2.1716, 7.4227], [2.1716, -2.1716, 7.4227], [2.1716, 2.1716, -7.4227]], "species": ["Na", "Na", "Br", "Br", "F"], "fractional_positions": [[0.1109, 0.1109, 0.0000], [0.8891, 0.8891, 0.0000], [0.2500, 0.7500, 0.5000], [0.7500, 0.2500, 0.5000], [0.5000, 0.5000, 0.0000]], "space_group": "I4/mmm (139)", "dos_at_fermi_per_ev_cell": 2.14, "e_form_raw_mev_per_atom": -1111}

(6)
{"formula": "Na4Br3F", "functional": "GGA-PBE", "state": "optimized geometry", "lattice_angstrom": [[9.3240, 0.0000, 0.0000], [0.0000, 8.1768, 0.0000], [0.0000, 0.0000, 6.0471]], "species": ["Na", "Na", "Na", "Na", "Na", "Na", "Na", "Na", "Br", "Br", "Br", "Br", "Br", "Br", "F", "F"], "fractional_positions": [[0.0000, 0.0991, 0.0000], [0.0000, 0.8107, 0.5805], [0.2163, 0.6887, 0.0043], [0.2837, 0.3113, 0.5043], [0.5000, 0.1893, 0.0805], [0.5000, 0.9009, 0.5000], [0.7163, 0.3113, 0.5043], [0.7837, 0.6887, 0.0043], [0.0000, 0.1434, 0.4892], [0.2377, 0.3316, 0.9903], [0.2623, 0.6684, 0.4903], [0.5000, 0.8566, 0.9892], [0.7377, 0.6684, 0.4903], [0.7623, 0.3316, 0.9903], [0.0000, 0.8202, 0.9517], [0.5000, 0.1798, 0.4517]], "space_group": "Pmn2_1 (31)", "relative_energy_mev_per_atom": 0.0, "dos_at_fermi_per_ev_cell": 0.00, "e_form_raw_mev_per_atom": -1786}

(7)
{"formula": "NaBrF", "functional": "GGA-PBE", "state": "optimized geometry", "lattice_angstrom": [[2.4332, -3.7719, 0.0000], [2.4332, 3.7719, 0.0000], [-0.9503, 0.0000, 7.4160]], "species": ["Na", "Na", "Br", "Br", "F", "F"], "fractional_positions": [[0.0000, 0.0000, 0.0000], [0.0000, 0.0000, 0.5000], [0.3255, 0.6745, 0.7500], [0.6745, 0.3255, 0.2500], [0.1646, 0.8354, 0.2500], [0.8354, 0.1646, 0.7500]], "space_group": "C2/c (15)", "relative_energy_mev_per_atom": 313.1, "dos_at_fermi_per_ev_cell": 3.54, "e_form_raw_mev_per_atom": -1427}

(8)
{"formula": "NaBr2F8", "functional": "GGA-PBE", "state": "optimized geometry", "lattice_angstrom": [[5.7780, 0.0000, 0.0000], [-2.8890, 5.0039, 0.0000], [0.0000, 0.0000, 6.0339]], "species": ["Na", "Br", "Br", "F", "F", "F", "F", "F", "F", "F", "F"], "fractional_positions": [[0.0000, 0.0000, 0.0000], [0.3333, 0.6667, 0.4519], [0.6667, 0.3333, 0.5481], [0.1798, 0.3595, 0.2468], [0.1798, 0.8202, 0.2468], [0.3333, 0.6667, 0.7623], [0.3595, 0.1798, 0.7532], [0.6405, 0.8202, 0.2468], [0.6667, 0.3333, 0.2377], [0.8202, 0.1798, 0.7532], [0.8202, 0.6405, 0.7532]], "space_group": "P-3m1 (164)", "relative_energy_mev_per_atom": 391.4, "dos_at_fermi_per_ev_cell": 8.51, "e_form_raw_mev_per_atom": -874}

(9)
{"formula": "NaBrF2", "functional": "GGA-PBE", "state": "optimized geometry", "lattice_angstrom": [[1.9132, 1.1046, 6.0130], [-1.9132, 1.1046, 6.0130], [0.0000, -2.2092, 6.0130]], "species": ["Na", "Br", "F", "F"], "fractional_positions": [[0.0000, 0.0000, 0.0000], [0.5000, 0.5000, 0.5000], [0.3883, 0.3883, 0.3883], [0.6117, 0.6117, 0.6117]], "space_group": "R-3m (166)", "relative_energy_mev_per_atom": 0.0, "dos_at_fermi_per_ev_cell": 0.00, "e_form_raw_mev_per_atom": -1685}

(10)
{"formula": "NaBrF4", "functional": "GGA-PBE", "state": "optimized geometry", "lattice_angstrom": [[-2.9324, 2.9324, 5.2761], [2.9324, -2.9324, 5.2761], [2.9324, 2.9324, -5.2761]], "species": ["Na", "Na", "Br", "Br", "F", "F", "F", "F", "F", "F", "F", "F"], "fractional_positions": [[0.2500, 0.2500, 0.0000], [0.7500, 0.7500, 0.0000], [0.0000, 0.5000, 0.5000], [0.5000, 0.0000, 0.5000], [0.0333, 0.5333, 0.8285], [0.2048, 0.0333, 0.5000], [0.2952, 0.7952, 0.8285], [0.4667, 0.2952, 0.5000], [0.5333, 0.7048, 0.5000], [0.7048, 0.2048, 0.1715], [0.7952, 0.9667, 0.5000], [0.9667, 0.4667, 0.1715]], "space_group": "I4/mcm (140)", "relative_energy_mev_per_atom": 0.0, "dos_at_fermi_per_ev_cell": 0.00, "e_form_raw_mev_per_atom": -1604}

(11)
{"formula": "NaBr3F12", "functional": "GGA-PBE", "state": "optimized geometry", "lattice_angstrom": [[9.7305, 0.0000, 0.0000], [-4.8652, 8.4268, 0.0000], [0.0000, 0.0000, 7.0250]], "species": ["Na", "Na", "Br", "Br", "Br", "Br", "Br", "Br", "F", "F", "F", "F", "F", "F", "F", "F", "F", "F", "F", "F", "F", "F", "F", "F", "F", "F", "F", "F", "F", "F", "F", "F"], "fractional_positions": [[0.3333, 0.6667, 0.2500], [0.6667, 0.3333, 0.7500], [0.0818, 0.7517, 0.7500], [0.2483, 0.3302, 0.7500], [0.3302, 0.0818, 0.2500], [0.6698, 0.9182, 0.7500], [0.7517, 0.6698, 0.2500], [0.9182, 0.2483, 0.2500], [0.0621, 0.5028, 0.2500], [0.0996, 0.2222, 0.2500], [0.1227, 0.9004, 0.2500], [0.2141, 0.7434, 0.5629], [0.2141, 0.7434, 0.9371], [0.2222, 0.1227, 0.7500], [0.2566, 0.4706, 0.5629], [0.2566, 0.4706, 0.9371], [0.4407, 0.9379, 0.2500], [0.4706, 0.2141, 0.0629], [0.4706, 0.2141, 0.4371], [0.4972, 0.5593, 0.2500], [0.5028, 0.4407, 0.7500], [0.5294, 0.7859, 0.5629], [0.5294, 0.7859, 0.9371], [0.5593, 0.0621, 0.7500], [0.7434, 0.5294, 0.0629], [0.7434, 0.5294, 0.4371], [0.7778, 0.8773, 0.2500], [0.7859, 0.2566, 0.0629], [0.7859, 0.2566, 0.4371], [0.8773, 0.0996, 0.7500], [0.9004, 0.7778, 0.7500], [0.9379, 0.4972, 0.7500]], "space_group": "P6_3/m (176)", "dos_at_fermi_per_ev_cell": 12.62, "e_form_raw_mev_per_atom": -825}

(12)
{"formula": "Na4Br3F", "functional": "GGA-PBE", "state": "optimized geometry", "lattice_angstrom": [[5.8220, 0.0000, 0.0000], [0.0000, 5.8220, 0.0000], [0.0000, 0.0000, 5.8220]], "species": ["Na", "Na", "Na", "Na", "Br", "Br", "Br", "F"], "fractional_positions": [[0.0000, 0.0000, 0.0000], [0.0000, 0.5000, 0.5000], [0.5000, 0.0000, 0.5000], [0.5000, 0.5000, 0.0000], [0.0000, 0.0000, 0.5000], [0.0000, 0.5000, 0.0000], [0.5000, 0.0000, 0.0000], [0.5000, 0.5000, 0.5000]], "space_group": "Pm-3m (221)", "relative_energy_mev_per_atom": 52.6, "dos_at_fermi_per_ev_cell": 0.00, "e_form_raw_mev_per_atom": -1733}